This record from Alexandria describes a geometry-optimized ErSb3S6 structure. The functional is PBE-GGA.

a = 11.4498 Å, b = 3.8368 Å, c = 11.8571 Å
α = 90.00°, β = 101.84°, γ = 90.00°
Atoms (fractional coordinates):
Er  0.1843  0.2500  0.0278
Er  0.8157  0.7500  0.9722
Sb  0.0261  0.7500  0.2852
Sb  0.3357  0.2500  0.4157
Sb  0.4088  0.7500  0.8440
Sb  0.5912  0.2500  0.1560
Sb  0.6643  0.7500  0.5843
Sb  0.9739  0.2500  0.7148
S  0.0387  0.7500  0.8977
S  0.1186  0.2500  0.4361
S  0.2121  0.7500  0.2078
S  0.2584  0.2500  0.8026
S  0.3755  0.7500  0.0442
S  0.3809  0.7500  0.5602
S  0.6191  0.2500  0.4398
S  0.6245  0.2500  0.9558
S  0.7416  0.7500  0.1974
S  0.7879  0.2500  0.7922
S  0.8814  0.7500  0.5639
S  0.9613  0.2500  0.1023

Offset from the most stable computed form, meV per atom: 0
Total DFT energy (no corrections), hartree per atom: -0.1790
Magnetic moment, μB per atom: 0.00
ΔE_f (raw), meV/atom: -702
SG: P2_1/m
Calculated volume, Å³/atom: 25.49

---

This record from Alexandria describes a geometry-optimized Er2SbS2 structure. The functional is PBE-GGA.

a = 3.9903 Å, b = 3.9903 Å, c = 32.7742 Å
α = 90.00°, β = 90.00°, γ = 120.00°
Atoms (fractional coordinates):
Er  0.0000  0.0000  0.0961
Er  0.0000  0.0000  0.9039
Er  0.3333  0.6667  0.5706
Er  0.3333  0.6667  0.7627
Er  0.6667  0.3333  0.2373
Er  0.6667  0.3333  0.4294
Sb  0.0000  0.0000  0.5000
Sb  0.3333  0.6667  0.1667
Sb  0.6667  0.3333  0.8333
S  0.0000  0.0000  0.2740
S  0.0000  0.0000  0.7260
S  0.3333  0.6667  0.3927
S  0.3333  0.6667  0.9406
S  0.6667  0.3333  0.0594
S  0.6667  0.3333  0.6073

Total DFT energy (no corrections), hartree per atom: -0.2127
Magnetic moment, μB per atom: 0.00
ΔE_f (raw), meV/atom: -1488
SG: R-3m
Calculated volume, Å³/atom: 30.13
DOS at the Fermi energy, states/eV/f.u.: 1.14

---

This record from Alexandria describes a geometry-optimized Er4Sb2SeS structure. The functional is PBE-GGA.

a = 7.1957 Å, b = 4.1637 Å, c = 7.2020 Å
α = 90.00°, β = 109.56°, γ = 90.00°
Atoms (fractional coordinates):
Er  0.2280  0.0000  0.2360
Er  0.2324  0.5000  0.7509
Er  0.7676  0.5000  0.2491
Er  0.7720  0.0000  0.7640
Sb  0.5000  0.0000  0.0000
Sb  0.5000  0.5000  0.5000
Se  0.0000  0.0000  0.5000
S  0.0000  0.5000  0.0000

Total DFT energy (no corrections), hartree per atom: -0.2094
Magnetic moment, μB per atom: 0.00
ΔE_f (raw), meV/atom: -1433
SG: P2/m
Calculated volume, Å³/atom: 25.42
DOS at the Fermi energy, states/eV/f.u.: 3.22